VASP calculation (PBEsol) on a relaxed structure of SrYZr2Tl.

CIF file:
```
data_SrYZr2Tl
_chemical_formula_sum 'Sr1 Y1 Zr2 Tl1'
_cell_length_a 5.221
_cell_length_b 5.221
_cell_length_c 5.769
_cell_angle_alpha 90.00
_cell_angle_beta 90.00
_cell_angle_gamma 90.00
_space_group_name_H-M_alt 'P 1'
_space_group_IT_number 1
loop_
_space_group_symop_operation_xyz
'x,y,z'
loop_
_atom_site_label
_atom_site_fract_x
_atom_site_fract_y
_atom_site_fract_z
Sr1 0.000 0.000 0.000
Y1 0.000 0.000 0.500
Zr1 0.000 0.500 0.500
Zr2 0.500 0.000 0.500
Tl1 0.500 0.500 0.000
```

Properties
formation energy: 1.142 eV/atom
magnetic moment: 0.001 Bohr magnetons per cell
total energy: -23.8 eV for the cell shown

VASP calculation (PBEsol) on a relaxed structure of SrTlZn2.

CIF file:
```
data_SrTlZn2
_chemical_formula_sum 'Sr1 Tl1 Zn2'
_cell_length_a 5.414
_cell_length_b 5.414
_cell_length_c 5.414
_cell_angle_alpha 133.49
_cell_angle_beta 120.60
_cell_angle_gamma 78.62
_space_group_name_H-M_alt 'P 1'
_space_group_IT_number 1
loop_
_space_group_symop_operation_xyz
'x,y,z'
loop_
_atom_site_label
_atom_site_fract_x
_atom_site_fract_y
_atom_site_fract_z
Sr1 0.000 0.000 0.000
Tl1 0.707 0.207 0.500
Zn1 0.283 0.783 0.500
Zn2 0.453 0.453 0.000
```

Properties
formation energy: -0.087 eV/atom
magnetic moment: 0.000 Bohr magnetons per cell
total energy: -8.0 eV for the cell shown

VASP calculation (PBEsol) on a relaxed structure of Sr2Tl2Zn.

CIF file:
```
data_Sr2Tl2Zn
_chemical_formula_sum 'Sr2 Tl2 Zn1'
_cell_length_a 6.186
_cell_length_b 6.186
_cell_length_c 6.186
_cell_angle_alpha 117.15
_cell_angle_beta 117.15
_cell_angle_gamma 95.02
_space_group_name_H-M_alt 'P 1'
_space_group_IT_number 1
loop_
_space_group_symop_operation_xyz
'x,y,z'
loop_
_atom_site_label
_atom_site_fract_x
_atom_site_fract_y
_atom_site_fract_z
Sr1 0.250 0.750 0.500
Sr2 0.750 0.250 0.500
Tl1 0.170 0.170 0.000
Tl2 0.830 0.830 0.000
Zn1 0.500 0.500 0.000
```

Properties
formation energy: -0.022 eV/atom
magnetic moment: 0.000 Bohr magnetons per cell
total energy: -10.6 eV for the cell shown

VASP calculation (PBEsol) on a relaxed structure of SrZrTl3.

CIF file:
```
data_SrZrTl3
_chemical_formula_sum 'Sr1 Zr1 Tl3'
_cell_length_a 5.644
_cell_length_b 5.644
_cell_length_c 5.644
_cell_angle_alpha 90.00
_cell_angle_beta 90.00
_cell_angle_gamma 90.00
_space_group_name_H-M_alt 'P 1'
_space_group_IT_number 1
loop_
_space_group_symop_operation_xyz
'x,y,z'
loop_
_atom_site_label
_atom_site_fract_x
_atom_site_fract_y
_atom_site_fract_z
Sr1 0.000 0.000 0.000
Zr1 0.500 0.500 0.500
Tl1 0.000 0.000 0.500
Tl2 0.000 0.500 0.000
Tl3 0.500 0.000 0.000
```

Properties
formation energy: 1.196 eV/atom
magnetic moment: 0.500 Bohr magnetons per cell
total energy: -12.8 eV for the cell shown

VASP calculation (PBEsol) on a relaxed structure of SrW.

CIF file:
```
data_SrW
_chemical_formula_sum 'Sr3 W3'
_cell_length_a 4.403
_cell_length_b 4.403
_cell_length_c 12.606
_cell_angle_alpha 90.00
_cell_angle_beta 90.00
_cell_angle_gamma 120.00
_space_group_name_H-M_alt 'P 1'
_space_group_IT_number 1
loop_
_space_group_symop_operation_xyz
'x,y,z'
loop_
_atom_site_label
_atom_site_fract_x
_atom_site_fract_y
_atom_site_fract_z
Sr1 0.000 0.000 0.000
Sr2 0.333 0.667 0.283
Sr3 0.667 0.333 0.717
W1 0.000 0.000 0.500
W2 0.333 0.667 0.541
W3 0.667 0.333 0.459
```

Properties
formation energy: 0.578 eV/atom
magnetic moment: 0.001 Bohr magnetons per cell
total energy: -43.5 eV for the cell shown

VASP calculation (PBEsol) on a relaxed structure of SrW3.

CIF file:
```
data_SrW3
_chemical_formula_sum 'Sr1 W3'
_cell_length_a 5.664
_cell_length_b 5.664
_cell_length_c 5.664
_cell_angle_alpha 148.66
_cell_angle_beta 127.17
_cell_angle_gamma 62.73
_space_group_name_H-M_alt 'P 1'
_space_group_IT_number 1
loop_
_space_group_symop_operation_xyz
'x,y,z'
loop_
_atom_site_label
_atom_site_fract_x
_atom_site_fract_y
_atom_site_fract_z
Sr1 0.000 0.000 0.000
W1 0.273 0.773 0.500
W2 0.500 0.500 0.000
W3 0.727 0.227 0.500
```

Properties
E above lowest polymorph: 0.399 eV per formula unit
formation energy: 1.204 eV/atom
magnetic moment: 0.000 Bohr magnetons per cell
total energy: -38.4 eV for the cell shown

VASP calculation (PBEsol) on a relaxed structure of Sr3W.

CIF file:
```
data_Sr3W
_chemical_formula_sum 'Sr3 W1'
_cell_length_a 5.709
_cell_length_b 5.709
_cell_length_c 5.709
_cell_angle_alpha 60.00
_cell_angle_beta 60.00
_cell_angle_gamma 60.00
_space_group_name_H-M_alt 'P 1'
_space_group_IT_number 1
loop_
_space_group_symop_operation_xyz
'x,y,z'
loop_
_atom_site_label
_atom_site_fract_x
_atom_site_fract_y
_atom_site_fract_z
Sr1 0.000 0.000 0.000
Sr2 0.250 0.250 0.250
Sr3 0.750 0.750 0.750
W1 0.500 0.500 0.500
```

Properties
formation energy: 1.131 eV/atom
magnetic moment: 2.782 Bohr magnetons per cell
total energy: -14.8 eV for the cell shown

VASP calculation (PBEsol) on a relaxed structure of SrW3.

CIF file:
```
data_SrW3
_chemical_formula_sum 'Sr1 W3'
_cell_length_a 10.715
_cell_length_b 10.715
_cell_length_c 10.715
_cell_angle_alpha 15.18
_cell_angle_beta 15.18
_cell_angle_gamma 15.18
_space_group_name_H-M_alt 'P 1'
_space_group_IT_number 1
loop_
_space_group_symop_operation_xyz
'x,y,z'
loop_
_atom_site_label
_atom_site_fract_x
_atom_site_fract_y
_atom_site_fract_z
Sr1 0.000 0.000 0.000
W1 0.241 0.241 0.241
W2 0.500 0.500 0.500
W3 0.759 0.759 0.759
```

Properties
E above lowest polymorph: 0.000 eV per formula unit
formation energy: 1.105 eV/atom
magnetic moment: 0.000 Bohr magnetons per cell
total energy: -38.8 eV for the cell shown